The following is a GGA-PBEsol calculation of a relaxed KSrCa2 crystal, from the Alexandria database.

```
data_KSrCa2
_chemical_formula_sum 'K2 Sr2 Ca4'
_cell_length_a 4.524
_cell_length_b 6.434
_cell_length_c 13.271
_cell_angle_alpha 90.00
_cell_angle_beta 90.00
_cell_angle_gamma 90.00
_space_group_name_H-M_alt 'C m m 2'
_space_group_IT_number 35
_space_group_name_Hall 'C 2 -2'
loop_
_atom_site_label
_atom_site_fract_x
_atom_site_fract_y
_atom_site_fract_z
_atom_site_occupancy
K1 0.000 0.000 0.000 1
Sr1 0.000 0.500 0.722 1
Ca1 0.000 0.000 0.485 1
Ca2 0.000 0.500 0.263 1
```

Computed properties:
formation enthalpy at 0 K: 0.088 eV per atom
energy: -6.890 eV per formula unit
magnetic moment: 0.00 μB/atom
excess energy over the best structure of this formula in the dataset: 0.02 eV/f.u.
calculated density: 1.78 Mg/m³